Below is CuGeIrBr2 after structural relaxation, with properties calculated at the PBE level.

The structure in CIF format:
```
data_CuGeIrBr2
_chemical_formula_sum 'Cu1 Ge1 Ir1 Br2'
_symmetry_space_group_name_H-M 'P 4/m m m'
_symmetry_Int_Tables_number 123
_symmetry_space_group_name_Hall '-P 4 2'
_cell_length_a 4.794
_cell_length_b 4.794
_cell_length_c 4.986
_cell_angle_alpha 90.00
_cell_angle_beta 90.00
_cell_angle_gamma 90.00
loop_
_atom_site_label
_atom_site_type_symbol
_atom_site_fract_x
_atom_site_fract_y
_atom_site_fract_z
Cu1 Cu 0.000 0.000 0.000
Ge1 Ge 0.500 0.500 0.500
Ir1 Ir 0.000 0.000 0.500
Br1 Br 0.000 0.500 0.000
```

Output
The density of states at the Fermi level comes out at 5.8 states/eV/f.u. As for the formation energy without anion corrections: 462 kJ/mol of formula units.